# 1
## Tb4DyY (GGA-PBE)

Data for Tb4DyY after structural relaxation.

Lattice parameters (Å, degrees): 6.4773 8.6573 8.6566 111.56 101.36 110.76
Atoms (fractional coordinates):
Tb: 0.3472 0.8900 0.6009
Tb: 0.1917 0.5758 0.7502
Tb: 0.7538 0.7109 0.6009
Tb: 0.2462 0.2891 0.3991
Tb: 0.6528 0.1100 0.3991
Tb: 0.9415 0.8256 0.2498
Tb: 0.0585 0.1744 0.7502
Tb: 0.8083 0.4242 0.2498
Y: 0.6662 0.4162 0.8324
Y: 0.3338 0.5838 0.1676
Dy: 0.7439 0.9939 0.9878
Dy: 0.2561 0.0061 0.0122

## Properties
Its space group is No. 15. For the relative energy among the computed polymorphs, the calculation gives 11.7 kJ per mole of atoms. As for the crystal system: monoclinic.

***

# 2
## Tb5DyY3 (GGA-PBE)

Data for Tb5DyY3 after structural relaxation.

Lattice parameters (Å, degrees): 9.5002 9.5002 11.6022 52.96 52.96 74.13
Atoms (fractional coordinates):
Tb: 0.2561 0.7439 0.0000
Tb: 0.8491 0.3462 0.2486
Tb: 0.1509 0.6538 0.7514
Tb: 0.8173 0.8173 0.9602
Tb: 0.1827 0.1827 0.0398
Tb: 0.3462 0.8491 0.2486
Tb: 0.7439 0.2561 0.0000
Tb: 0.6538 0.1509 0.7514
Tb: 0.4902 0.4902 0.2341
Tb: 0.5098 0.5098 0.7659
Dy: 0.1504 0.1504 0.5978
Dy: 0.8496 0.8496 0.4022
Y: 0.0000 0.0000 0.5000
Y: 0.3404 0.3404 0.6407
Y: 0.0000 0.0000 0.0000
Y: 0.6596 0.6596 0.3593
Y: 0.6896 0.6896 0.8206
Y: 0.3104 0.3104 0.1794

## Properties
Its space group is No. 12. For the relative energy among the computed polymorphs, the calculation gives 22.8 kJ per mole of atoms. As for the crystal system: monoclinic.

***

# 3
## Tb15Dy2Y2 (GGA-PBE)

Data for Tb15Dy2Y2 after structural relaxation.

Lattice parameters (Å, degrees): 8.7353 8.7353 8.7353 79.26 79.26 79.26
Atoms (fractional coordinates):
Tb: 0.0000 0.7017 0.2983
Tb: 0.3734 0.8494 0.3734
Tb: 0.0000 0.5000 0.0000
Tb: 0.2983 0.0000 0.7017
Tb: 0.6266 0.6266 0.1506
Tb: 0.5000 0.0000 0.0000
Tb: 0.6266 0.1506 0.6266
Tb: 0.7017 0.2983 0.0000
Tb: 0.0000 0.0000 0.5000
Tb: 0.3734 0.3734 0.8494
Tb: 0.8494 0.3734 0.3734
Tb: 0.2983 0.7017 0.0000
Tb: 0.0000 0.2983 0.7017
Tb: 0.7017 0.0000 0.2983
Tb: 0.1506 0.6266 0.6266
Y: 0.9042 0.9042 0.9042
Y: 0.0958 0.0958 0.0958
Dy: 0.3209 0.3209 0.3209
Dy: 0.6791 0.6791 0.6791

## Properties
Its space group is No. 166. As for the crystal system: trigonal.

***

# 4
## Tb7DyY3 (GGA-PBE)

Data for Tb7DyY3 after structural relaxation.

Lattice parameters (Å, degrees): 8.9518 9.9301 5.5499 89.99 128.32 106.32
Atoms (fractional coordinates):
Tb: 0.8200 0.6413 0.3201
Tb: 0.9134 0.8301 0.9135
Tb: 0.1800 0.3587 0.6799
Tb: 0.6458 0.2926 0.1459
Tb: 0.3542 0.7074 0.8541
Tb: 0.0866 0.1699 0.0865
Tb: 0.5000 0.0000 0.5000
Y: 0.2203 0.9990 0.7204
Y: 0.0000 0.5000 0.0000
Y: 0.7797 0.0010 0.2796
Dy: 0.5000 0.5000 0.5000

## Properties
Its space group is No. 10. For the relative energy among the computed polymorphs, the calculation gives 0.0 kJ per mole of atoms. As for the crystal system: monoclinic.

***

# 5
## TbDy2Y2 (GGA-PBE)

Data for TbDy2Y2 after structural relaxation.

Lattice parameters (Å, degrees): 9.3032 9.3032 3.7425 90.00 90.00 90.00
Atoms (fractional coordinates):
Dy: 0.1269 0.6269 0.0000
Dy: 0.3731 0.1269 0.0000
Dy: 0.6269 0.8731 0.0000
Dy: 0.8731 0.3731 0.0000
Tb: 0.5000 0.5000 0.0000
Tb: 0.0000 0.0000 0.0000
Y: 0.8286 0.6714 0.5000
Y: 0.3286 0.8286 0.5000
Y: 0.1714 0.3286 0.5000
Y: 0.6714 0.1714 0.5000

## Properties
Its space group is No. 127. For the relative energy among the computed polymorphs, the calculation gives 0.0 kJ per mole of atoms. As for the crystal system: tetragonal.

***

# 6
## Tb5DyY2 (GGA-PBE)

Data for Tb5DyY2 after structural relaxation.

Lattice parameters (Å, degrees): 5.0290 7.1281 14.2568 90.00 90.00 90.00
Atoms (fractional coordinates):
Tb: 0.0000 0.9999 0.7499
Tb: 0.5000 0.7501 0.1248
Tb: 0.0000 0.0001 0.2501
Tb: 0.5000 0.2501 0.3752
Tb: 0.0000 0.0000 0.0000
Tb: 0.0000 0.5001 0.2499
Tb: 0.5000 0.7499 0.6248
Tb: 0.5000 0.2499 0.8752
Tb: 0.0000 0.4999 0.7501
Tb: 0.0000 0.5000 0.5000
Dy: 0.0000 0.0000 0.5000
Dy: 0.0000 0.5000 0.0000
Y: 0.5000 0.2499 0.6250
Y: 0.5000 0.7501 0.3750
Y: 0.5000 0.7499 0.8750
Y: 0.5000 0.2501 0.1250

## Properties
Its space group is No. 55. For the relative energy among the computed polymorphs, the calculation gives 0.0 kJ per mole of atoms. As for the crystal system: orthorhombic.

***

Formation enthalpy at 0 K per entry: 0.139, 0.528, 0.284, 0.145, 0.090, 0.016 eV/atom
Density per entry: 7.5, 6.2, 7.5, 7.1, 6.8, 7.4 g cm⁻³